No. 1
VASP calculation (PBE) on a relaxed Cr2TcPb crystal.

Properties
* VASP energy: -7.773 eV per atom
* relative energy among the computed polymorphs: 78 meV per atom
* ΔH_f (0 K): 0.557 eV/atom

Cell: 5.1587 5.1587 5.1587 Å, 143.59 128.18 64.98°
Last column: nearest neighbours and their distance in Å.
Atoms (fractional coordinates):
Pb  0.5050  0.5050  0.0000  8 Cr 2.77-3.03, 4 Tc 2.86-3.01
Cr  0.9898  0.9898  0.0000  2 Cr 2.49, 2 Tc 2.66, 4 Pb 2.77
Cr  0.7716  0.2716  0.5000  2 Cr 2.49
Tc  0.2336  0.7336  0.5000  6 Cr 2.66-2.79, 2 Pb 2.86


No. 2
VASP calculation (PBE) on a relaxed Cr2TcPb crystal.

Properties
* VASP energy: -7.843 eV per atom
* relative energy among the computed polymorphs: 7 meV per atom
* ΔH_f (0 K): 0.487 eV/atom

Cell: 3.0758 3.0758 7.3562 Å, 90.00 90.00 90.00°
Last column: nearest neighbours and their distance in Å.
Atoms (fractional coordinates):
Pb  0.5000  0.5000  0.2500  4 Pb 3.08, 8 Cr 3.11
Cr  0.0000  0.0000  0.9474  4 Tc 2.62, 1 Cr 2.90
Cr  0.0000  0.0000  0.5526  4 Tc 2.62, 1 Cr 2.90
Tc  0.5000  0.5000  0.7500  8 Cr 2.62


No. 3
VASP calculation (PBE) on a relaxed Cr2TcPb crystal.

Properties
* VASP energy: -7.783 eV per atom
* relative energy among the computed polymorphs: 68 meV per atom
* ΔH_f (0 K): 0.548 eV/atom

Cell: 2.9474 3.7672 5.8586 Å, 90.00 90.00 90.00°
Last column: nearest neighbours and their distance in Å.
Atoms (fractional coordinates):
Tc  0.5000  0.5000  0.8124  1 Cr 2.20
Pb  0.0000  0.0000  0.4949  6 Cr 2.87-2.99, 2 Pb 2.95, 4 Tc 3.03
Cr  0.0000  0.0000  0.0054  4 Cr 2.62, 4 Tc 2.65, 1 Pb 2.87
Cr  0.5000  0.5000  0.1872  1 Tc 2.20


No. 4
VASP calculation (PBE) on a relaxed Cr2TcPb crystal.

Properties
* VASP energy: -7.681 eV per atom
* relative energy among the computed polymorphs: 170 meV per atom
* ΔH_f (0 K): 0.650 eV/atom

Cell: 5.0162 5.0162 5.0162 Å, 134.21 134.21 66.75°
Last column: nearest neighbours and their distance in Å.
Atoms (fractional coordinates):
Tc  0.7500  0.2500  0.5000  8 Cr 2.76-2.86, 4 Pb 2.86
Cr  0.0000  0.0000  0.0000  4 Pb 2.76, 4 Cr 2.86, 4 Tc 2.86
Cr  0.2500  0.7500  0.5000  4 Tc 2.76, 4 Pb 2.86, 4 Cr 2.86
Pb  0.5000  0.5000  0.0000  8 Cr 2.76-2.86, 4 Tc 2.86


No. 5
VASP calculation (PBE) on a relaxed Cr2TcPb crystal.

Properties
* VASP energy: -7.694 eV per atom
* relative energy among the computed polymorphs: 156 meV per atom
* ΔH_f (0 K): 0.636 eV/atom

Cell: 4.5257 4.5257 4.5257 Å, 60.00 60.00 60.00°
Last column: nearest neighbours and their distance in Å.
Atoms (fractional coordinates):
Cr  0.0000  0.0000  0.0000  4 Cr 2.77, 4 Tc 2.77
Cr  0.2500  0.2500  0.2500  4 Pb 2.77, 4 Cr 2.77
Tc  0.7500  0.7500  0.7500  4 Cr 2.77, 4 Pb 2.77
Pb  0.5000  0.5000  0.5000  4 Tc 2.77, 4 Cr 2.77


No. 6
VASP calculation (PBE) on a relaxed Cr4TcPb crystal.

Properties
* VASP energy: -8.361 eV per atom
* ΔH_f (0 K): 0.401 eV/atom

Cell: 4.8982 4.8982 4.8982 Å, 60.00 60.00 60.00°
Last column: nearest neighbours and their distance in Å.
Atoms (fractional coordinates):
Tc  0.0000  0.0000  0.0000  12 Cr 2.87, 4 Pb 3.00
Pb  0.7500  0.7500  0.7500  12 Cr 2.87, 4 Tc 3.00
Cr  0.3765  0.3765  0.3765  6 Cr 2.42-2.48
Cr  0.3765  0.3765  0.8705  6 Cr 2.42-2.48
Cr  0.3765  0.8705  0.3765  6 Cr 2.42-2.48
Cr  0.8705  0.3765  0.3765  6 Cr 2.42-2.48


Repeat the fifth record exactly.
VASP calculation (PBE) on a relaxed Cr2TcPb crystal.

Properties
* VASP energy: -7.694 eV per atom
* relative energy among the computed polymorphs: 156 meV per atom
* ΔH_f (0 K): 0.636 eV/atom

Cell: 4.5257 4.5257 4.5257 Å, 60.00 60.00 60.00°
Last column: nearest neighbours and their distance in Å.
Atoms (fractional coordinates):
Cr  0.0000  0.0000  0.0000  4 Cr 2.77, 4 Tc 2.77
Cr  0.2500  0.2500  0.2500  4 Pb 2.77, 4 Cr 2.77
Tc  0.7500  0.7500  0.7500  4 Cr 2.77, 4 Pb 2.77
Pb  0.5000  0.5000  0.5000  4 Tc 2.77, 4 Cr 2.77


Question: Among the records above, which one has the highest VASP energy?
Answer: number 4


Question: Which of these has the lowest ΔH_f (0 K)?
Answer: Cr4TcPb